Record 1
{"formula": "MgFeIr2", "functional": "PBE", "state": "optimized geometry", "delta_e_f_mev_per_atom": -55, "dos_ef_per_ev_cell": 3.339, "lattice_angstrom": [[-3.902, 1.749, 2.923], [-0.332, -1.916, 4.801], [2.757, 2.701, -3.455]], "species": ["Ir", "Ir", "Mg", "Fe"], "frac_coords": [[0.484, 0.484, 0.000], [0.016, 0.016, 0.000], [0.750, 0.250, 0.500], [0.250, 0.750, 0.500]]}

Record 2
{"formula": "MgFe3Ir", "functional": "PBE", "state": "optimized geometry", "polymorph_energy_mev_per_atom": 0, "delta_e_f_mev_per_atom": 995, "dos_ef_per_ev_cell": 4.291, "lattice_angstrom": [[4.668, 0.000, 0.000], [0.000, 4.668, 0.000], [0.000, 0.000, 4.668]], "species": ["Fe", "Fe", "Fe", "Mg", "Ir"], "frac_coords": [[0.000, 0.000, 0.500], [0.500, 0.000, 0.000], [0.000, 0.500, 0.000], [0.500, 0.500, 0.500], [0.000, 0.000, 0.000]]}

Record 3
{"formula": "MgFe2Ir", "functional": "PBE", "state": "optimized geometry", "delta_e_f_mev_per_atom": 231, "dos_ef_per_ev_cell": 3.270, "lattice_angstrom": [[-1.139, 0.470, 2.365], [-1.666, -1.061, -1.792], [2.241, -8.044, 2.678]], "species": ["Ir", "Fe", "Fe", "Mg"], "frac_coords": [[0.500, 0.500, 0.250], [0.000, 0.000, 0.008], [0.000, 0.000, 0.492], [0.500, 0.500, 0.750]]}

Record 4
{"formula": "MgFeIr2", "functional": "PBE", "state": "optimized geometry", "delta_e_f_mev_per_atom": -51, "dos_ef_per_ev_cell": 4.206, "lattice_angstrom": [[-5.151, -0.634, 0.472], [-1.978, -4.815, 0.255], [3.189, 3.545, 2.103]], "species": ["Ir", "Ir", "Mg", "Fe"], "frac_coords": [[0.007, 0.007, 0.000], [0.755, 0.255, 0.500], [0.497, 0.497, 0.000], [0.241, 0.741, 0.500]]}

Record 5
{"formula": "MgFeIr2", "functional": "PBE", "state": "optimized geometry", "delta_e_f_mev_per_atom": -164, "dos_ef_per_ev_cell": 3.887, "lattice_angstrom": [[-0.663, 0.274, -2.686], [1.823, -1.994, -0.654], [-5.287, -5.091, 0.786]], "species": ["Mg", "Ir", "Ir", "Fe"], "frac_coords": [[0.500, 0.500, 0.500], [0.000, 0.000, 0.225], [0.000, 0.000, 0.775], [0.500, 0.500, 0.000]]}

Record 6
{"formula": "MgFeIr2", "functional": "PBE", "state": "optimized geometry", "delta_e_f_mev_per_atom": 71, "dos_ef_per_ev_cell": 4.259, "lattice_angstrom": [[-3.005, -8.436, -0.747], [-0.878, -8.585, -2.508], [-0.463, -8.972, 0.199]], "species": ["Mg", "Ir", "Ir", "Fe"], "frac_coords": [[0.500, 0.500, 0.500], [0.251, 0.251, 0.251], [0.003, 0.003, 0.003], [0.746, 0.746, 0.746]]}

Copy entry 1 word for word.
{"formula": "MgFeIr2", "functional": "PBE", "state": "optimized geometry", "delta_e_f_mev_per_atom": -55, "dos_ef_per_ev_cell": 3.339, "lattice_angstrom": [[-3.902, 1.749, 2.923], [-0.332, -1.916, 4.801], [2.757, 2.701, -3.455]], "species": ["Ir", "Ir", "Mg", "Fe"], "frac_coords": [[0.484, 0.484, 0.000], [0.016, 0.016, 0.000], [0.750, 0.250, 0.500], [0.250, 0.750, 0.500]]}